Run one
LiLaTlAg: relaxed, GGA-PBE.

The structure in POSCAR format:
```
LiLaTlAg
1.0
0.000 3.590 3.590
3.590 0.000 3.590
3.590 3.590 0.000
La Tl Ag Li
1 1 1 1
Direct
0.000 0.000 0.000
0.500 0.500 0.500
0.250 0.250 0.250
0.750 0.750 0.750
```

Calculated values
**Space-group type**: F-43m, No. 216
**Magnetization**: 0.0 μB per formula unit
**Crystal system**: cubic

Run two
LiLaTlAg: relaxed, GGA-PBE.

The structure in POSCAR format:
```
LiLaTlAg
1.0
0.000 3.628 3.628
3.628 0.000 3.628
3.628 3.628 0.000
Li Tl Ag La
1 1 1 1
Direct
0.750 0.750 0.750
0.250 0.250 0.250
0.000 0.000 0.000
0.500 0.500 0.500
```

Calculated values
**Space-group type**: F-43m, No. 216
**Magnetization**: 0.0 μB per formula unit
**Crystal system**: cubic

Verdict on stability: run two comes out at the bottom.

Run one
LaNbAg: relaxed, GGA-PBE.

The structure in POSCAR format:
```
LaNbAg
1.0
0.000 3.469 3.469
3.469 0.000 3.469
3.469 3.469 0.000
Nb La Ag
1 1 1
Direct
0.750 0.750 0.750
0.000 0.000 0.000
0.250 0.250 0.250
```

Calculated values
**Space-group type**: F-43m, No. 216
**Magnetization**: 3.0 μB per formula unit
**Crystal system**: cubic

Run two
LaNbAg: relaxed, GGA-PBE.

The structure in POSCAR format:
```
LaNbAg
1.0
0.000 3.475 3.475
3.475 0.000 3.475
3.475 3.475 0.000
Ag Nb La
1 1 1
Direct
0.000 0.000 0.000
0.750 0.750 0.750
0.250 0.250 0.250
```

Calculated values
**Space-group type**: F-43m, No. 216
**Magnetization**: 3.0 μB per formula unit
**Crystal system**: cubic

Verdict on stability: run one comes out at the bottom.

Run one
LaPuAg: relaxed, GGA-PBE.

The structure in POSCAR format:
```
LaPuAg
1.0
0.000 3.496 3.496
3.496 0.000 3.496
3.496 3.496 0.000
Pu La Ag
1 1 1
Direct
0.750 0.750 0.750
0.000 0.000 0.000
0.250 0.250 0.250
```

Calculated values
**Space-group type**: F-43m, No. 216
**Magnetization**: 6.1 μB per formula unit
**Crystal system**: cubic

Run two
LaPuAg: relaxed, GGA-PBE.

The structure in POSCAR format:
```
LaPuAg
1.0
2.258 0.211 4.406
-1.628 3.141 3.470
-2.284 -1.738 4.040
Pu Ag La
1 1 1
Direct
0.250 0.250 0.250
0.000 0.000 0.000
0.500 0.500 0.500
```

Calculated values
**Space-group type**: F-43m, No. 216
**Magnetization**: 6.1 μB per formula unit
**Crystal system**: cubic

Verdict on stability: run one comes out at the bottom.

Run one
LaReAg: relaxed, GGA-PBE.

The structure in POSCAR format:
```
LaReAg
1.0
1.777 -0.849 4.324
-2.815 0.265 3.819
-1.217 -3.956 2.334
La Ag Re
1 1 1
Direct
0.250 0.250 0.250
0.000 0.000 0.000
0.750 0.750 0.750
```

Calculated values
**Space-group type**: F-43m, No. 216
**Magnetization**: 1.8 μB per formula unit
**Crystal system**: cubic

Run two
LaReAg: relaxed, GGA-PBE.

The structure in POSCAR format:
```
LaReAg
1.0
5.110 0.000 0.000
-2.555 4.426 0.000
0.000 0.000 8.996
Ag Re La
3 3 3
Direct
0.000 0.000 0.665
0.000 0.000 0.335
0.000 0.000 0.000
0.333 0.667 0.500
0.667 0.333 0.124
0.667 0.333 0.876
0.333 0.667 0.188
0.333 0.667 0.812
0.667 0.333 0.500
```

Calculated values
**Space-group type**: P-6m2, No. 187
**Magnetization**: 0.0 μB per formula unit
**Crystal system**: hexagonal

Run three
LaReAg: relaxed, GGA-PBE.

The structure in POSCAR format:
```
LaReAg
1.0
0.000 3.422 3.422
3.422 0.000 3.422
3.422 3.422 0.000
Ag La Re
1 1 1
Direct
0.250 0.250 0.250
0.000 0.000 0.000
0.750 0.750 0.750
```

Calculated values
**Space-group type**: F-43m, No. 216
**Magnetization**: 2.7 μB per formula unit
**Crystal system**: cubic

Verdict on stability: run three comes out at the bottom.

Run one
LaAgTe: relaxed, GGA-PBE.

The structure in POSCAR format:
```
LaAgTe
1.0
0.619 -4.212 2.878
-4.030 -3.011 1.048
-0.356 -4.655 -2.147
Te Ag La
1 1 1
Direct
0.000 0.000 0.000
0.250 0.250 0.250
0.750 0.750 0.750
```

Calculated values
**Space-group type**: F-43m, No. 216
**Magnetization**: 0.0 μB per formula unit
**Crystal system**: cubic

Run two
LaAgTe: relaxed, GGA-PBE.

The structure in POSCAR format:
```
LaAgTe
1.0
0.000 3.704 3.704
3.704 0.000 3.704
3.704 3.704 0.000
Ag Te La
1 1 1
Direct
0.250 0.250 0.250
0.750 0.750 0.750
0.000 0.000 0.000
```

Calculated values
**Space-group type**: F-43m, No. 216
**Magnetization**: 0.0 μB per formula unit
**Crystal system**: cubic

Verdict on stability: run one comes out at the bottom.

Run one
LaTlAg2: relaxed, GGA-PBE.

The structure in POSCAR format:
```
LaTlAg2
1.0
2.496 -4.323 0.000
2.496 4.323 0.000
0.000 0.000 9.134
Ag La Tl
4 2 2
Direct
0.333 0.667 0.593
0.667 0.333 0.407
0.333 0.667 0.907
0.667 0.333 0.093
0.333 0.667 0.250
0.667 0.333 0.750
0.000 0.000 0.000
0.000 0.000 0.500
```

Calculated values
**Space-group type**: P6_3/mmc, No. 194
**Magnetization**: 0.0 μB per formula unit
**Crystal system**: hexagonal

Run two
LaTlAg2: relaxed, GGA-PBE.

The structure in POSCAR format:
```
LaTlAg2
1.0
-5.111 1.307 0.964
3.123 -1.739 3.998
2.306 7.832 1.606
La Ag Tl
2 4 2
Direct
0.000 0.000 0.250
0.000 0.000 0.750
0.333 0.667 0.415
0.667 0.333 0.915
0.333 0.667 0.085
0.667 0.333 0.585
0.667 0.333 0.250
0.333 0.667 0.750
```

Calculated values
**Space-group type**: P6_3/mmc, No. 194
**Magnetization**: 0.1 μB per formula unit
**Crystal system**: hexagonal

Verdict on stability: run two comes out at the bottom.